# 1
Density functional theory data (PBE) for a relaxed NdSmTm2 crystal.

Calculated values
The polymorph energy (0 for the lowest one) is 84 meV/atom. The formation energy is 102 meV per atom.

a b c (Å): 5.6890 5.6890 5.6890
angles (deg): 60.00 60.00 60.00
With the nearest neighbours (Å) after each atom.
Fractional positions:
Nd 0.5000 0.5000 0.5000  8 Tm 3.48
Tm 0.2500 0.2500 0.2500  4 Nd 3.48, 4 Sm 3.48
Tm 0.7500 0.7500 0.7500  4 Nd 3.48, 4 Sm 3.48
Sm 0.0000 0.0000 0.0000  8 Tm 3.48

# 2
Density functional theory data (PBE) for a relaxed TaGePt2 crystal.

Calculated values
The formation energy is 44 meV per atom.

a b c (Å): 5.6599 5.6599 7.0685
angles (deg): 66.40 66.40 90.00
With the nearest neighbours (Å) after each atom.
Fractional positions:
Pt 0.6109 0.1250 0.2500  2 Ge 2.43, 2 Ta 2.52
Pt 0.1391 0.6250 0.2500  2 Ge 2.43, 2 Ta 2.52
Pt 0.3750 0.3891 0.7500  2 Ge 2.43, 2 Ta 2.52
Pt 0.8750 0.8609 0.7500  2 Ge 2.43, 2 Ta 2.52
Ta 0.7500 0.2500 0.5000  4 Pt 2.52
Ta 0.0000 0.0000 0.0000  4 Pt 2.52
Ge 0.5000 0.5000 0.0000  4 Pt 2.43
Ge 0.2500 0.7500 0.5000  4 Pt 2.43

# 3
Density functional theory data (PBE) for a relaxed Na8B11C5 crystal.

Calculated values
The polymorph energy (0 for the lowest one) is 42 meV/atom. The formation energy is 144 meV per atom.

a b c (Å): 9.0526 9.0525 5.7852
angles (deg): 99.19 99.19 32.12
With the nearest neighbours (Å) after each atom.
Fractional positions:
C 0.7079 0.0422 0.6930  3 B 1.59-1.64
C 0.2912 0.9588 0.3125  3 B 1.64-1.65
C 0.7905 0.4601 0.5575  3 B 1.61-1.67
C 0.7899 0.4595 0.0675  3 B 1.61-1.67
C 0.2078 0.5421 0.9320  3 B 1.59-1.64
Na 0.2484 0.2503 0.1249  9 B 2.68-2.80, 3 C 2.71-2.74, 6 Na 2.88-2.90
Na 0.9997 0.0016 0.5001  9 B 2.68-2.80, 3 C 2.71-2.74, 6 Na 2.88-2.90
Na 0.4970 0.5014 0.2500  8 B 2.67-2.78, 4 C 2.71-2.72, 6 Na 2.88-2.90
Na 0.0011 0.0012 0.0004  8 B 2.69-2.75, 4 C 2.70-2.73, 6 Na 2.88-2.90
Na 0.5027 0.4997 0.7507  8 B 2.66-2.77, 4 C 2.71-2.73, 6 Na 2.88-2.90
Na 0.2488 0.2489 0.6246  8 B 2.69-2.75, 4 C 2.70-2.73, 6 Na 2.88-2.90
Na 0.7503 0.7474 0.8743  8 B 2.66-2.77, 4 C 2.71-2.73, 6 Na 2.88-2.90
Na 0.7486 0.7530 0.3750  8 B 2.67-2.77, 4 C 2.71-2.72, 6 Na 2.88-2.90
B 0.0342 0.7152 0.6984  2 C 1.61-1.64, 1 B 1.73
B 0.5348 0.2158 0.9267  2 C 1.61-1.64, 1 B 1.73
B 0.2857 0.9643 0.8125  3 B 1.71-1.77
B 0.4688 0.7806 0.0745  2 C 1.61-1.64, 1 B 1.77
B 0.4694 0.7812 0.5505  2 C 1.61-1.64, 1 B 1.77
B 0.7039 0.0471 0.1879  3 B 1.70-1.76
B 0.5556 0.1951 0.4531  1 C 1.59, 2 B 1.70-1.76
B 0.9614 0.2886 0.3125  3 C 1.65-1.66
B 0.2029 0.5461 0.4371  3 B 1.70-1.76
B 0.0549 0.6944 0.1719  1 C 1.59, 2 B 1.70-1.76
B 0.9446 0.3055 0.8125  2 C 1.67, 1 B 1.71

# 4
Density functional theory data (PBE) for a relaxed BC3 crystal.

Calculated values
The polymorph energy (0 for the lowest one) is 95 meV/atom. The formation energy is 335 meV per atom.

a b c (Å): 5.7897 5.7897 3.5998
angles (deg): 87.41 92.59 141.93
With the nearest neighbours (Å) after each atom.
Fractional positions:
C 0.6668 0.3352 0.9985  4 C 1.57-1.61
C 0.1686 0.8334 0.5015  4 C 1.57-1.61
C 0.0015 0.9890 0.9875  3 C 1.53-1.55, 1 B 1.58
C 0.5017 0.0099 0.2628  3 C 1.53-1.57, 1 B 1.59
C 0.6806 0.8473 0.7500  2 C 1.54, 2 B 1.60
C 0.9873 0.4864 0.7586  3 C 1.55-1.61, 1 B 1.66
C 0.8433 0.6684 0.2372  3 C 1.53-1.57, 1 B 1.59
C 0.3197 0.1540 0.7414  3 C 1.55-1.61, 1 B 1.66
C 0.8223 0.1682 0.5125  3 C 1.53-1.55, 1 B 1.58
B 0.5342 0.5309 0.4937  3 C 1.59-1.66
B 0.1097 0.2764 0.2500  2 C 1.58
B 0.3643 0.7008 0.0063  3 C 1.59-1.66

# 5
Density functional theory data (PBE) for a relaxed Ho5Tm2Th3 crystal.

Calculated values
The formation energy is 31 meV per atom.

a b c (Å): 5.0153 6.0992 12.8265
angles (deg): 60.98 78.73 65.72
With the nearest neighbours (Å) after each atom.
Fractional positions:
Tm 0.5977 0.0059 0.7988  4 Th 3.49-3.56, 8 Ho 3.50-3.55
Tm 0.4023 0.9941 0.2012  4 Th 3.49-3.56, 8 Ho 3.50-3.55
Th 0.0988 0.5037 0.2987  3 Tm 3.49-3.56, 7 Ho 3.51-3.55, 2 Th 3.56
Th 0.5000 0.5000 0.5000  2 Tm 3.51, 6 Ho 3.52-3.54, 4 Th 3.56
Th 0.9012 0.4963 0.7013  3 Tm 3.49-3.56, 7 Ho 3.51-3.55, 2 Th 3.56
Ho 0.0000 0.0000 0.0000  2 Th 3.51, 6 Ho 3.52-3.54, 4 Tm 3.55
Ho 0.1995 0.0004 0.6006  7 Th 3.52-3.55, 3 Ho 3.52-3.56, 2 Tm 3.55
Ho 0.3005 0.4995 0.8995  4 Tm 3.50-3.55, 6 Ho 3.52-3.56, 2 Th 3.54
Ho 0.6995 0.5005 0.1005  4 Tm 3.50-3.55, 6 Ho 3.52-3.56, 2 Th 3.54
Ho 0.8005 0.9996 0.3994  7 Th 3.52-3.55, 3 Ho 3.52-3.56, 2 Tm 3.55

# 6
Density functional theory data (PBE) for a relaxed CdHgB3 crystal.

Calculated values
The polymorph energy (0 for the lowest one) is 13 meV/atom. The formation energy is 2215 meV per atom.

a b c (Å): 4.4747 4.4747 4.4747
angles (deg): 90.00 90.00 90.00
With the nearest neighbours (Å) after each atom.
Fractional positions:
Hg 0.5000 0.5000 0.5000  12 B 3.16
B 0.0000 0.0000 0.5000  2 Cd 2.24
B 0.0000 0.5000 0.0000  2 Cd 2.24
B 0.5000 0.0000 0.0000  2 Cd 2.24
Cd 0.0000 0.0000 0.0000  6 B 2.24

# 7
Density functional theory data (PBE) for a relaxed PmCd3Hg2 crystal.

Calculated values
The formation energy is -230 meV per atom.

a b c (Å): 4.5676 6.9531 10.4019
angles (deg): 70.14 77.32 70.82
With the nearest neighbours (Å) after each atom.
Fractional positions:
Cd 0.3867 0.6160 0.6106  8 Cd 3.06-3.22, 3 Hg 3.12-3.17, 1 Pm 3.37
Cd 0.7116 0.9571 0.6196  2 Hg 3.05-3.19, 8 Cd 3.07-3.26
Cd 0.0579 0.2743 0.6099  8 Cd 3.07-3.20, 3 Hg 3.09-3.31, 1 Pm 3.44
Cd 0.9421 0.7257 0.3901  8 Cd 3.07-3.20, 3 Hg 3.09-3.31, 1 Pm 3.44
Cd 0.6133 0.3840 0.3894  8 Cd 3.06-3.22, 3 Hg 3.12-3.17, 1 Pm 3.37
Cd 0.2884 0.0429 0.3804  2 Hg 3.05-3.19, 8 Cd 3.07-3.26
Pm 0.1513 0.8165 0.8810  5 Hg 3.12-3.30, 4 Cd 3.37-3.44
Pm 0.8487 0.1835 0.1190  5 Hg 3.12-3.30, 4 Cd 3.37-3.44
Hg 0.1732 0.4825 0.1711  4 Cd 3.05-3.12, 2 Hg 3.10, 3 Pm 3.12-3.16
Hg 0.8268 0.5175 0.8289  4 Cd 3.05-3.12, 2 Hg 3.10, 3 Pm 3.12-3.16
Hg 0.4778 0.1877 0.8566  3 Hg 3.10-3.22, 4 Cd 3.17-3.31, 2 Pm 3.30
Hg 0.5222 0.8123 0.1434  3 Hg 3.10-3.22, 4 Cd 3.17-3.31, 2 Pm 3.30

# 8
Density functional theory data (PBE) for a relaxed Li3Sb2Au4 crystal.

Calculated values
For the uncorrected formation energy, the calculation gives -0.385 eV/atom.

a b c (Å): 4.2677 4.9732 8.9718
angles (deg): 78.07 89.94 63.94
With the nearest neighbours (Å) after each atom.
Fractional positions:
Sb 0.6644 0.6706 0.2229  7 Au 2.88-3.04, 5 Li 3.02-3.09
Sb 0.3356 0.3294 0.7771  7 Au 2.88-3.04, 5 Li 3.02-3.09
Li 0.6632 0.6754 0.5664  6 Au 2.83-3.00, 3 Li 2.87-3.07, 3 Sb 3.02-3.09
Li 0.0000 0.0000 0.0000  8 Au 2.84-3.11, 4 Sb 3.05-3.07
Li 0.3368 0.3246 0.4336  6 Au 2.83-3.00, 3 Li 2.87-3.07, 3 Sb 3.02-3.09
Au 0.0100 0.9781 0.3490  1 Au 2.76, 5 Li 2.83-3.00, 3 Sb 2.89-3.04
Au 0.9900 0.0219 0.6510  1 Au 2.76, 5 Li 2.83-3.00, 3 Sb 2.89-3.04
Au 0.3386 0.3272 0.1047  4 Li 2.84-2.95, 4 Sb 2.88-2.97, 3 Au 3.02-3.18
Au 0.6614 0.6728 0.8953  4 Li 2.84-2.95, 4 Sb 2.88-2.97, 3 Au 3.02-3.18

Per-record DOS(E_F), states/eV/cell: 6.8; 4.1; 4.0; 1.9; 13.8; 2.2; 4.5; 2.8